No. 1
This record from the Alexandria database describes a relaxed structure of HoCu4Si3. The functional is PBE.

## Properties
The total energy comes out at -0.184 Ha/atom. The space group is P4/mmm. As for the crystal system: tetragonal.

extended XYZ file:
```
8
Lattice="4.010 0.000 0.000 0.000 4.010 0.000 0.000 0.000 7.514" Properties=species:S:1:pos:R:3 pbc="T T T"
Ho 0.000 0.000 3.757
Si 2.005 2.005 2.599
Cu 2.005 0.000 1.324
Si 2.005 2.005 4.916
Cu 0.000 2.005 6.191
Si 0.000 0.000 0.000
Cu 2.005 0.000 6.191
Cu 0.000 2.005 1.324
```


No. 2
This record from the Alexandria database describes a relaxed structure of HoCuSi. The functional is PBE.

## Properties
The total energy comes out at -0.197 Ha/atom. The space group is P6_3/mmc. As for the crystal system: hexagonal.

extended XYZ file:
```
6
Lattice="-0.360 -3.121 -2.712 -0.944 -0.604 3.996 -6.983 1.978 -1.350" Properties=species:S:1:pos:R:3 pbc="T T T"
Ho 0.000 0.000 0.000
Cu -2.495 -0.948 1.423
Ho -3.491 0.989 -0.675
Cu -5.792 -0.798 -1.489
Si -2.300 -1.787 -0.813
Si -5.986 0.041 0.747
```


No. 3
This record from the Alexandria database describes a relaxed structure of Ho3Cu2Si3. The functional is PBE.

## Properties
The total energy comes out at -0.200 Ha/atom. The space group is Cmcm. As for the crystal system: orthorhombic.

extended XYZ file:
```
16
Lattice="4.154 0.000 0.000 -2.077 5.166 0.000 0.000 0.000 13.891" Properties=species:S:1:pos:R:3 pbc="T T T"
Ho 2.077 4.290 1.577
Si 0.000 4.045 13.330
Ho 2.077 1.354 3.473
Si 2.077 1.732 10.419
Ho 2.077 4.290 5.368
Ho 0.000 0.877 12.314
Si 0.000 4.045 7.507
Ho 0.000 0.877 8.523
Si 2.077 1.121 0.562
Cu 2.077 2.998 12.649
Cu 0.000 2.169 5.703
Ho 0.000 3.812 10.419
Cu 2.077 2.998 8.188
Cu 0.000 2.169 1.243
Si 2.077 1.121 6.384
Si 0.000 3.434 3.473
```


No. 4
This record from the Alexandria database describes a relaxed structure of HoCu9Si2. The functional is PBE.

## Properties
The total energy comes out at -0.168 Ha/atom. The space group is I4_1/amd. As for the crystal system: tetragonal.

extended XYZ file:
```
24
Lattice="-5.983 0.596 2.242 -5.552 -1.836 -5.143 -2.828 -6.437 3.348" Properties=species:S:1:pos:R:3 pbc="T T T"
Cu -3.676 -1.797 -1.242
Ho -2.992 0.298 1.121
Si -7.330 -1.547 1.513
Cu -3.012 -2.920 0.831
Cu -10.640 -4.827 -0.651
Cu -6.427 -3.746 -3.473
Ho -5.686 -3.987 -0.337
Cu -9.975 -5.950 1.423
Cu -6.688 -3.661 2.586
Cu -5.001 -1.892 2.026
Cu -8.387 -3.945 -1.872
Cu -7.802 -1.780 -0.886
Cu -4.232 -4.300 2.532
Cu -7.082 -6.011 -2.433
Cu 0.000 0.000 0.000
Cu -8.677 -3.689 0.784
Si -8.745 -4.765 3.187
Cu -5.842 -1.580 -2.487
Cu -5.666 -0.769 -0.047
Si -10.106 -2.464 -1.058
Cu -4.817 -6.465 1.547
Si -8.529 -5.981 -0.505
Cu -6.417 -7.135 -0.360
Cu -7.273 -5.826 1.600
```


No. 5
This record from the Alexandria database describes a relaxed structure of Ho3Cu4Si4. The functional is PBE.

## Properties
The total energy comes out at -0.197 Ha/atom. The space group is Immm. As for the crystal system: orthorhombic.

extended XYZ file:
```
11
Lattice="4.125 0.000 -0.001 0.000 6.530 0.000 -2.063 -3.265 6.831" Properties=species:S:1:pos:R:3 pbc="T T T"
Cu 2.061 4.511 2.307
Si 2.062 0.000 3.873
Si 2.063 5.322 0.000
Si -0.001 3.265 2.957
Cu 2.062 2.019 2.305
Ho 2.062 3.265 5.066
Ho 0.000 3.265 0.000
Ho 0.000 0.000 1.765
Si -0.001 -2.057 6.831
Cu 0.000 -1.246 4.523
Cu 0.000 1.246 4.525
```


No. 6
This record from the Alexandria database describes a relaxed structure of HoCuSi. The functional is PBE.

## Properties
The total energy comes out at -0.196 Ha/atom. The space group is P-6m2. As for the crystal system: hexagonal.

extended XYZ file:
```
3
Lattice="-3.231 -0.662 2.488 3.812 0.214 1.578 -0.396 3.662 0.460" Properties=species:S:1:pos:R:3 pbc="T T T"
Cu -1.081 1.461 2.414
Si -0.198 1.831 0.230
Ho 1.464 -0.078 1.881
```


No. 7
This record from the Alexandria database describes a relaxed structure of HoCu12Si6. The functional is PBE.

## Properties
The total energy comes out at -0.166 Ha/atom. The space group is R-3m. As for the crystal system: trigonal.

extended XYZ file:
```
19
Lattice="6.669 0.047 0.067 -1.607 6.473 0.067 -1.607 -2.070 6.133" Properties=species:S:1:pos:R:3 pbc="T T T"
Cu 1.727 -1.070 5.473
Si 0.297 0.383 4.317
Cu -1.465 4.703 3.133
Si 3.157 0.500 4.482
Cu 4.919 3.042 0.794
Si 3.753 1.267 1.784
Si 0.297 3.950 1.784
Ho 0.000 0.000 0.000
Cu 1.727 5.520 0.794
Cu 3.820 2.749 3.872
Si 3.157 4.067 1.949
Cu 1.717 2.211 5.413
Cu 1.738 2.238 0.853
Si -0.298 3.183 4.482
Cu 1.738 0.068 2.395
Cu 4.919 -0.253 3.133
Cu -0.365 1.700 2.395
Cu -1.465 1.408 5.473
Cu 1.717 4.382 3.872
```


No. 8
This record from the Alexandria database describes a relaxed structure of HoCuSi. The functional is PBE.

## Properties
The total energy comes out at -0.175 Ha/atom. The space group is I4mm. As for the crystal system: tetragonal.

extended XYZ file:
```
3
Lattice="-3.264 -1.825 -0.971 -0.353 -1.297 3.622 -0.292 4.808 -0.368" Properties=species:S:1:pos:R:3 pbc="T T T"
Cu -1.255 1.940 0.572
Si -2.223 -0.919 1.515
Ho -3.710 1.379 2.192
```


No. 9
This record from the Alexandria database describes a relaxed structure of Sm2HoCu2Si2. The functional is PBE.

## Properties
The total energy comes out at -0.192 Ha/atom. The space group is R-3m. As for the crystal system: trigonal.

extended XYZ file:
```
7
Lattice="4.130 0.000 0.000 2.065 3.577 0.000 2.065 1.192 10.526" Properties=species:S:1:pos:R:3 pbc="T T T"
Ho 0.000 0.000 0.000
Si 6.195 3.577 8.641
Sm 2.065 1.192 6.757
Cu 4.130 2.384 8.712
Cu 4.130 2.384 1.814
Sm 6.195 3.577 3.768
Si 2.065 1.192 1.885
```


No. 10
This record from the Alexandria database describes a relaxed structure of SmHoCu2Si2. The functional is PBE.

## Properties
The total energy comes out at -0.198 Ha/atom. The space group is P-3m1. As for the crystal system: trigonal.

extended XYZ file:
```
6
Lattice="-1.987 -3.215 1.771 4.122 -0.186 -0.632 1.181 3.025 6.819" Properties=species:S:1:pos:R:3 pbc="T T T"
Cu 2.957 1.035 5.198
Ho 0.591 1.513 3.410
Cu 0.359 -1.411 2.760
Si 0.926 0.040 6.031
Sm 0.000 0.000 0.000
Si 2.390 -0.416 1.927
```


No. 11
This record from the Alexandria database describes a relaxed structure of SmHo2Cu2Si2. The functional is PBE.

## Properties
The total energy comes out at -0.191 Ha/atom. The space group is R-3m. As for the crystal system: trigonal.

extended XYZ file:
```
7
Lattice="-0.899 -4.077 0.495 2.939 -2.641 1.436 -2.137 -0.540 9.531" Properties=species:S:1:pos:R:3 pbc="T T T"
Si -0.178 -5.381 8.928
Ho -1.068 -1.185 6.160
Cu -0.879 -3.128 8.352
Cu 0.782 -4.130 3.110
Ho 0.971 -6.074 5.302
Si 0.081 -1.878 2.534
Sm 0.000 0.000 0.000
```


No. 12
This record from the Alexandria database describes a relaxed structure of TbHoCu2Si2. The functional is PBE.

## Properties
The total energy comes out at -0.198 Ha/atom. The space group is P-3m1. As for the crystal system: trigonal.

extended XYZ file:
```
6
Lattice="-0.551 3.942 -1.206 -3.294 -2.449 0.673 -0.150 2.156 7.115" Properties=species:S:1:pos:R:3 pbc="T T T"
Si -2.418 0.226 1.843
Tb 0.000 0.000 0.000
Ho -0.075 1.078 3.557
Cu -1.504 2.361 1.232
Cu -2.492 1.288 5.349
Si -1.578 3.423 4.738
```